Density functional theory data (GGA-PBEsol) for an optimized crystal structure of YIrS2N.

Unit cell a=5.1883 b=5.1883 c=5.3354 alpha=90.00 beta=90.00 gamma=90.00
With the nearest neighbours (Å) after each atom.
Fractional positions:
S (0.5000, 0.0000, 0.0000)  2 Y 2.59
Ir (0.0000, 0.0000, 0.5000)  2 Y 2.67
Y (0.0000, 0.0000, 0.0000)  4 S 2.59, 2 Ir 2.67
S (0.0000, 0.5000, 0.0000)  2 Y 2.59
N (0.5000, 0.5000, 0.5000)  4 Ir 3.67, 8 S 3.72

Computed properties:
Raw formation energy: 1.814 eV/atom
Symmetry: P4/mmm, No. 123
Energy above the lowest structure with this stoichiometry: 2409 meV per atom
VASP energy: -4.975 eV per atom